DFT (GGA-PBEsol) results for crystalline YZn at its relaxed geometry.

Cell lengths 3.549, 3.549, 8.781 Å; angles 90.00, 90.00, 120.00 degrees
Fractional positions:
Y1 0.333 0.667 0.336
Y2 0.667 0.333 0.664
Zn1 0.333 0.667 0.913
Zn2 0.667 0.333 0.087

Properties
* space-group type: P-3m1
* energy of formation from the pure elements: 6.8 meV per atom
* V: 23.9 Å³/atom
* final energy: -4.195 eV per atom